No. 1
Entry from Alexandria: Tl2RuPbO4 after structural relaxation (GGA-PBE). Values from VASP.

Values from the calculation:
ΔE_f (raw): -0.677 eV/atom

Quantum ESPRESSO input file:
```
&SYSTEM
  ibrav = 0, nat = 8, ntyp = 4
/
ATOMIC_SPECIES
Tl 204.38 Tl.upf
Ru 101.07 Ru.upf
Pb 207.20 Pb.upf
O 16.00 O.upf
CELL_PARAMETERS angstrom
6.6543 0.2249 -0.3353
0.2281 6.1807 0.0184
-3.6163 -3.1821 3.9755
ATOMIC_POSITIONS angstrom
Tl -0.4274 -3.0388 3.7991
Tl -0.2579 -0.0619 1.8142
Ru 3.3714 3.1792 1.7270
Pb 3.1835 0.1309 3.5892
O 2.2846 1.5914 1.8849
O 4.9292 2.2854 1.3410
O 2.0773 4.2201 0.8847
O 4.1943 -1.3518 2.1953
```

---

No. 2
Entry from Alexandria: LaIn2P after structural relaxation (GGA-PBE). Values from VASP.

Values from the calculation:
E_form: -0.129 eV per atom

Quantum ESPRESSO input file:
```
&SYSTEM
  ibrav = 0, nat = 4, ntyp = 3
/
ATOMIC_SPECIES
In 114.82 In.upf
La 138.91 La.upf
P 30.97 P.upf
CELL_PARAMETERS angstrom
-6.3898 2.2670 5.6328
-3.6934 0.7714 7.9663
-3.4174 4.4477 6.7998
ATOMIC_POSITIONS angstrom
In -0.2891 0.1603 0.4368
In -6.4612 3.5827 9.7627
La -3.3751 1.8715 5.0997
P -10.1254 5.6145 15.2991
```

---

No. 3
Entry from Alexandria: Th6Te5Os after structural relaxation (GGA-PBE). Values from VASP.

Values from the calculation:
ΔE_f (raw): -1.002 eV/atom

Quantum ESPRESSO input file:
```
&SYSTEM
  ibrav = 0, nat = 12, ntyp = 3
/
ATOMIC_SPECIES
Te 127.60 Te.upf
Os 190.23 Os.upf
Th 232.04 Th.upf
CELL_PARAMETERS angstrom
7.4588 -0.6198 -1.3797
-4.8867 7.1715 -2.1242
0.0415 -0.6013 7.7274
ATOMIC_POSITIONS angstrom
Te -1.6168 5.2510 2.6583
Te 1.7084 4.1267 0.1490
Te -2.4434 3.5857 -1.0621
Te 0.9052 1.8237 4.0745
Te 4.2304 0.6994 1.5652
Os 0.0000 0.0000 0.0000
Th -0.6844 2.3808 1.3147
Th -3.4101 6.3868 0.1271
Th 2.4174 1.2201 -1.0832
Th 0.1547 5.3316 -2.4207
Th 6.0237 -0.4364 4.0964
Th 3.2980 3.5697 2.9088
```

---

No. 4
Entry from Alexandria: Nd2Mg3Al after structural relaxation (GGA-PBE). Values from VASP.

Values from the calculation:
E_form: -0.173 eV per atom

Quantum ESPRESSO input file:
```
&SYSTEM
  ibrav = 0, nat = 12, ntyp = 3
/
ATOMIC_SPECIES
Nd 144.24 Nd.upf
Mg 24.30 Mg.upf
Al 26.98 Al.upf
CELL_PARAMETERS angstrom
6.0458 0.0000 0.0000
-3.0229 5.2358 0.0000
0.0000 0.0000 9.7048
ATOMIC_POSITIONS angstrom
Nd 3.0229 1.7453 4.2967
Nd 0.0000 3.4905 5.4081
Nd 0.0000 3.4905 9.1491
Nd 3.0229 1.7453 0.5557
Mg 0.0000 1.7579 2.4262
Mg 1.5224 0.8789 7.2786
Mg 3.0229 3.4779 7.2786
Mg -1.5005 4.3569 2.4262
Mg 4.5234 0.8789 7.2786
Mg 1.5005 4.3569 2.4262
Al 0.0000 0.0000 4.8524
Al 0.0000 0.0000 0.0000
```

---

No. 5
Entry from Alexandria: ZrBSe2N after structural relaxation (GGA-PBE). Values from VASP.

Values from the calculation:
ΔE_f (raw): -0.123 eV/atom
excess energy over the best structure of this formula in the dataset: 0.00 eV per formula unit

Quantum ESPRESSO input file:
```
&SYSTEM
  ibrav = 0, nat = 5, ntyp = 4
/
ATOMIC_SPECIES
B 10.81 B.upf
Se 78.96 Se.upf
Zr 91.22 Zr.upf
N 14.01 N.upf
CELL_PARAMETERS angstrom
-3.7475 4.0313 0.0182
-3.7668 -3.4927 -1.9770
-0.7085 -0.6701 2.5336
ATOMIC_POSITIONS angstrom
B 0.0000 0.0000 0.0000
Se -1.8834 -1.7463 -0.9885
Se -1.8738 2.0157 0.0091
Zr -4.1114 -0.0657 0.2874
N -0.3542 -0.3350 1.2668
```

---

No. 6
Entry from Alexandria: GdErGeIr after structural relaxation (GGA-PBE). Values from VASP.

Values from the calculation:
E_form: -0.689 eV per atom

Quantum ESPRESSO input file:
```
&SYSTEM
  ibrav = 0, nat = 4, ntyp = 4
/
ATOMIC_SPECIES
Gd 157.25 Gd.upf
Ge 72.64 Ge.upf
Ir 192.22 Ir.upf
Er 167.26 Er.upf
CELL_PARAMETERS angstrom
4.9597 0.0000 0.0000
2.4799 4.2952 0.0000
2.4799 1.4317 4.0496
ATOMIC_POSITIONS angstrom
Gd 0.0000 0.0000 0.0000
Ge 2.4799 1.4317 1.0124
Ir 7.4396 4.2952 3.0372
Er 4.9597 2.8635 2.0248
```

---

No. 7
Entry from Alexandria: Ca4Mg3Pb after structural relaxation (GGA-PBE). Values from VASP.

Values from the calculation:
E_form: -0.206 eV per atom

Quantum ESPRESSO input file:
```
&SYSTEM
  ibrav = 0, nat = 8, ntyp = 3
/
ATOMIC_SPECIES
Pb 207.20 Pb.upf
Ca 40.08 Ca.upf
Mg 24.30 Mg.upf
CELL_PARAMETERS angstrom
3.8874 0.0000 0.0000
0.0000 3.8874 0.0000
0.0000 0.0000 16.2863
ATOMIC_POSITIONS angstrom
Pb 1.9437 1.9437 0.0000
Ca 0.0000 0.0000 14.2676
Ca 0.0000 0.0000 2.0188
Ca 0.0000 0.0000 6.0884
Ca 0.0000 0.0000 10.1980
Mg 1.9437 1.9437 4.0859
Mg 1.9437 1.9437 8.1432
Mg 1.9437 1.9437 12.2005
```

---

No. 8
Entry from Alexandria: La2Sn4Pd9 after structural relaxation (GGA-PBE). Values from VASP.

Values from the calculation:
E_form: -0.638 eV per atom

Quantum ESPRESSO input file:
```
&SYSTEM
  ibrav = 0, nat = 15, ntyp = 3
/
ATOMIC_SPECIES
La 138.91 La.upf
Sn 118.71 Sn.upf
Pd 106.42 Pd.upf
CELL_PARAMETERS angstrom
-1.4393 -4.3120 0.5994
4.4496 1.0144 0.4436
-2.3234 3.0466 16.3380
ATOMIC_POSITIONS angstrom
La 0.7365 1.5337 12.8022
La -0.0496 -1.7848 4.5788
Sn 1.5669 0.4448 6.9627
Sn -0.8800 -0.6959 10.4183
Sn -1.5591 0.1945 15.1936
Sn 2.2460 -0.4456 2.1874
Pd -0.7785 1.0208 5.4743
Pd -1.5449 2.0258 10.8638
Pd -1.9800 2.5963 13.9232
Pd -0.3434 0.4503 2.4148
Pd 1.1799 0.9523 9.6843
Pd -0.4930 -1.2034 7.6967
Pd 0.3938 -2.3663 1.4607
Pd 0.2931 2.1152 15.9203
Pd -1.1617 1.5233 8.1690
```

---

No. 9
Entry from Alexandria: PmYHo after structural relaxation (GGA-PBE). Values from VASP.

Values from the calculation:
E_form: 0.011 eV per atom
excess energy over the best structure of this formula in the dataset: 0.00 eV per formula unit

Quantum ESPRESSO input file:
```
&SYSTEM
  ibrav = 0, nat = 3, ntyp = 3
/
ATOMIC_SPECIES
Pm 145.00 Pm.upf
Y 88.91 Y.upf
Ho 164.93 Ho.upf
CELL_PARAMETERS angstrom
-2.8156 0.3299 2.2462
0.2174 -1.2796 3.3714
4.1457 6.6690 4.2167
ATOMIC_POSITIONS angstrom
Pm 2.3338 3.8180 3.5946
Y -0.6508 1.8963 3.0436
Ho 1.6308 5.7520 8.2541
```

---

No. 10
Entry from Alexandria: OsO2F2 after structural relaxation (GGA-PBE). Values from VASP.

Values from the calculation:
ΔE_f (raw): 1.322 eV/atom
excess energy over the best structure of this formula in the dataset: 12.27 eV per formula unit

Quantum ESPRESSO input file:
```
&SYSTEM
  ibrav = 0, nat = 5, ntyp = 3
/
ATOMIC_SPECIES
Os 190.23 Os.upf
O 16.00 O.upf
F 19.00 F.upf
CELL_PARAMETERS angstrom
3.6026 0.0000 0.0000
0.0000 3.6026 0.0000
0.0000 0.0000 4.2532
ATOMIC_POSITIONS angstrom
Os 1.8013 1.8013 2.1266
O 0.0000 1.8013 0.0000
O 1.8013 0.0000 0.0000
F 0.0000 0.0000 0.0000
F 0.0000 0.0000 2.1266
```

---

No. 11
Entry from Alexandria: CdPW2 after structural relaxation (GGA-PBE). Values from VASP.

Values from the calculation:
E_form: 0.335 eV per atom
excess energy over the best structure of this formula in the dataset: 0.33 eV per formula unit

Quantum ESPRESSO input file:
```
&SYSTEM
  ibrav = 0, nat = 4, ntyp = 3
/
ATOMIC_SPECIES
Cd 112.41 Cd.upf
P 30.97 P.upf
W 183.84 W.upf
CELL_PARAMETERS angstrom
-5.7523 0.4784 6.6693
-7.0810 -1.5714 5.0187
-4.9557 -2.3501 6.9077
ATOMIC_POSITIONS angstrom
Cd -4.4473 -0.8608 4.6489
P -13.3418 -2.5823 13.9467
W -0.2094 -0.0405 0.2189
W -8.6851 -1.6810 9.0789
```

---

No. 12
Entry from Alexandria: PrDy2InC after structural relaxation (GGA-PBE). Values from VASP.

Values from the calculation:
E_form: -0.411 eV per atom

Quantum ESPRESSO input file:
```
&SYSTEM
  ibrav = 0, nat = 5, ntyp = 4
/
ATOMIC_SPECIES
Pr 140.91 Pr.upf
Dy 162.50 Dy.upf
In 114.82 In.upf
C 12.01 C.upf
CELL_PARAMETERS angstrom
5.1653 0.0000 0.0000
0.0000 4.9430 0.0000
0.0000 0.0000 4.9430
ATOMIC_POSITIONS angstrom
Pr 2.5826 0.0000 0.0000
Dy 0.0000 0.0000 2.4715
Dy 0.0000 2.4715 0.0000
In 2.5826 2.4715 2.4715
C 0.0000 0.0000 0.0000
```